Record 1
VASP calculation (GGA-PBE) on an optimized crystal structure of CePu2As4.

As for the total energy: -8.453 eV per atom.

It has space group Cmcm (No. 63), with a = 4.267 Å, b = 14.188 Å, c = 11.801 Å, α = 90.00°, β = 90.00° and γ = 90.00°. The inequivalent atoms are Ce at (0.000, 0.110, 0.250), Pu at (0.000, 0.370, 0.059), As at (0.000, 0.000, 0.000), As at (0.000, 0.258, 0.643) and As at (0.000, 0.480, 0.250).



Record 2
VASP calculation (GGA-PBE) on an optimized crystal structure of Ce5PuAs6.

As for the total energy: -7.339 eV per atom.

It has space group C2/m (No. 12), with a = 7.284 Å, b = 12.600 Å, c = 7.271 Å, α = 90.00°, β = 109.45° and γ = 90.00°. The inequivalent atoms are Ce at (0.000, 0.000, 0.000), Ce at (0.000, 0.167, 0.500), Ce at (0.000, 0.333, 0.000), Pu at (0.000, 0.500, 0.500), As at (0.249, 0.334, 0.749) and As at (0.249, 0.500, 0.251).



Record 3
VASP calculation (GGA-PBE) on an optimized crystal structure of Ce3Pu5As8.

As for the total energy: -9.070 eV per atom.

It has space group R-3m (No. 166, hexagonal axes), with a = 8.3356 Å, b = 8.3356 Å, c = 20.3301 Å, α = 90.00°, β = 90.00° and γ = 120.00°. The inequivalent atoms are Ce at (0.0000, 0.5000, 0.0000), Pu at (0.0000, 0.0000, 0.0000), Pu at (0.0000, 0.0000, 0.5000), Pu at (0.0000, 0.5000, 0.5000), As at (0.0000, 0.0000, 0.2485) and As at (0.0017, 0.5009, 0.7509).



no.,energy relative to the elements (eV per atom),V (Å³/atom)
1,-0.8537,25.5
2,-1.3472,26.2
3,-1.1538,25.5